Material: La2TaPb
Method: DFT, PBE
State: optimized geometry

## Properties
density	9.7	g/cm³
volume	28.58	Å³/atom
total magnetization	0.0	μB per cell
energy relative to the elements	0.28	eV per atom

The structure in CIF format:
```
data_La2TaPb
_chemical_formula_sum 'La2 Ta1 Pb1'
_symmetry_space_group_name_H-M 'P 1'
_symmetry_Int_Tables_number 1
_symmetry_space_group_name_Hall 'P 1'
_cell_length_a 11.4121
_cell_length_b 11.4121
_cell_length_c 11.4121
_cell_angle_alpha 17.27
_cell_angle_beta 17.27
_cell_angle_gamma 17.27
loop_
_atom_site_label
_atom_site_fract_x
_atom_site_fract_y
_atom_site_fract_z
_atom_site_occupancy
La1 0.0064 0.0064 0.0064 1
La2 0.4936 0.4936 0.4936 1
Pb1 0.2500 0.2500 0.2500 1
Ta1 0.7500 0.7500 0.7500 1
```